Version A
PBE-GGA GeSbTe2Pd, optimized geometry; total moment = 0.0 μB/cell; DOS(E_F) = 4.66 states/eV per cell
1.0
5.392 0.000 0.000
0.000 5.392 0.000
0.000 0.000 5.055
Ge Sb Te Pd
1 1 2 1
Direct
0.000 0.000 0.000 Ge
0.500 0.500 0.000 Sb
0.000 0.500 0.500 Te
0.500 0.000 0.500 Te
0.500 0.500 0.500 Pd

Version B
PBE-GGA GeSbTe2Pd, optimized geometry; total moment = 0.0 μB/cell; DOS(E_F) = 4.89 states/eV per cell
1.0
5.330 0.000 0.000
0.000 5.330 0.000
0.000 0.000 5.312
Ge Sb Te Pd
1 1 2 1
Direct
0.000 0.000 0.000 Ge
0.000 0.000 0.500 Sb
0.000 0.500 0.000 Te
0.500 0.000 0.000 Te
0.500 0.500 0.500 Pd

version A is preferred energetically. Next in line: 356 meV/atom higher.

Version A
PBE-GGA Sc2Ge2Pd, optimized geometry; total moment = 0.0 μB/cell; DOS(E_F) = 3.67 states/eV per cell
1.0
-1.797 1.797 7.657
1.797 -1.797 7.657
1.797 1.797 -7.657
Sc Ge Pd
2 2 1
Direct
0.102 0.102 0.000 Sc
0.898 0.898 0.000 Sc
0.250 0.750 0.500 Ge
0.750 0.250 0.500 Ge
0.500 0.500 0.000 Pd

Version B
PBE-GGA Sc2Ge2Pd, optimized geometry; total moment = 0.0 μB/cell; DOS(E_F) = 5.65 states/eV per cell
1.0
7.804 0.000 0.000
0.000 7.804 0.000
0.000 0.000 3.171
Sc Ge Pd
4 4 2
Direct
0.136 0.364 0.000 Sc
0.364 0.864 0.000 Sc
0.636 0.136 0.000 Sc
0.864 0.636 0.000 Sc
0.172 0.672 0.500 Ge
0.328 0.172 0.500 Ge
0.672 0.828 0.500 Ge
0.828 0.328 0.500 Ge
0.000 0.000 0.000 Pd
0.500 0.500 0.000 Pd

Version C
PBE-GGA Sc2Ge2Pd, optimized geometry; total moment = 0.0 μB/cell; DOS(E_F) = 6.73 states/eV per cell
1.0
5.137 -2.080 0.000
5.137 2.080 0.000
-4.465 0.000 8.622
Sc Ge Pd
4 4 2
Direct
0.002 0.002 0.325 Sc
0.179 0.179 0.103 Sc
0.821 0.821 0.897 Sc
0.998 0.998 0.675 Sc
0.364 0.364 0.421 Ge
0.465 0.465 0.115 Ge
0.535 0.535 0.885 Ge
0.636 0.636 0.579 Ge
0.283 0.283 0.642 Pd
0.717 0.717 0.358 Pd

Version D
PBE-GGA Sc2Ge2Pd, optimized geometry; total moment = 0.0 μB/cell; DOS(E_F) = 4.03 states/eV per cell
1.0
6.611 0.000 0.000
0.000 6.611 0.000
0.000 0.000 4.147
Sc Ge Pd
4 4 2
Direct
0.169 0.331 0.000 Sc
0.331 0.831 0.000 Sc
0.669 0.169 0.000 Sc
0.831 0.669 0.000 Sc
0.138 0.638 0.500 Ge
0.362 0.138 0.500 Ge
0.638 0.862 0.500 Ge
0.862 0.362 0.500 Ge
0.000 0.000 0.500 Pd
0.500 0.500 0.500 Pd

version D is preferred energetically. Next in line: 6 meV/atom higher.

Version A
PBE-GGA ScGePd3, optimized geometry; total moment = 0.0 μB/cell; DOS(E_F) = 1.89 states/eV per cell
1.0
4.782 0.000 0.000
0.000 4.782 0.000
0.000 0.000 4.782
Sc Ge Pd
1 1 3
Direct
0.000 0.000 0.000 Sc
0.500 0.500 0.500 Ge
0.000 0.000 0.500 Pd
0.000 0.500 0.000 Pd
0.500 0.000 0.000 Pd

Version B
PBE-GGA ScGePd3, optimized geometry; total moment = 0.0 μB/cell; DOS(E_F) = 9.26 states/eV per cell
1.0
3.871 -5.034 0.000
3.871 5.034 0.000
0.000 0.000 8.924
Sc Ge Pd
4 4 12
Direct
0.112 0.888 0.750 Sc
0.380 0.620 0.250 Sc
0.620 0.380 0.750 Sc
0.888 0.112 0.250 Sc
0.000 0.500 0.000 Ge
0.000 0.500 0.500 Ge
0.500 0.000 0.000 Ge
0.500 0.000 0.500 Ge
0.119 0.881 0.086 Pd
0.119 0.881 0.414 Pd
0.163 0.473 0.750 Pd
0.321 0.321 0.000 Pd
0.321 0.321 0.500 Pd
0.473 0.163 0.250 Pd
0.527 0.837 0.750 Pd
0.679 0.679 0.000 Pd
0.679 0.679 0.500 Pd
0.837 0.527 0.250 Pd
0.881 0.119 0.586 Pd
0.881 0.119 0.914 Pd

version B is preferred energetically. Next in line: 1029 meV/atom higher.